1.
VASP calculation (PBE) on an optimized crystal structure of MgTlOs2.

Cell lengths 2.916, 2.916, 8.539 Å; angles 90.00, 90.00, 90.00 degrees
Element x y z (fractional)
Mg1 0.500 0.500 0.796
Tl1 0.000 0.000 0.476
Os1 0.000 0.000 0.021
Os2 0.500 0.500 0.207

Properties
Magnetic moment in μB/f.u.: 0.00
DFT formation energy in eV/atom: 0.29
V in Å³ per cell: 72.6
Space group: P4mm
E_tot in eV per atom: -6.315
Crystal system: tetragonal

***

2.
VASP calculation (PBE) on an optimized crystal structure of HfTi3H4.

Cell lengths 4.903, 4.912, 6.838 Å; angles 90.00, 90.00, 90.00 degrees
Element x y z (fractional)
H1 0.134 0.852 0.000
H2 0.138 0.383 0.260
H3 0.634 0.148 0.500
H4 0.638 0.617 0.240
H5 0.138 0.383 0.740
H6 0.597 0.139 0.000
H7 0.097 0.861 0.500
H8 0.638 0.617 0.760
Hf1 0.997 0.240 0.000
Hf2 0.497 0.760 0.500
Ti1 0.001 0.743 0.246
Ti2 0.501 0.257 0.254
Ti3 0.007 0.238 0.500
Ti4 0.501 0.257 0.746
Ti5 0.507 0.762 0.000
Ti6 0.001 0.743 0.754

Properties
Magnetic moment in μB/f.u.: 0.00
V in Å³ per cell: 164.7
Space group: Pmn2_1
E_tot in eV per atom: -6.202
Crystal system: orthorhombic

***

3.
VASP calculation (PBE) on an optimized crystal structure of LaVN3.

Cell lengths 3.639, 6.174, 5.925 Å; angles 98.18, 101.78, 91.50 degrees
Site moments in Bohr magnetons follow the coordinates.
Element x y z (fractional)
N1 0.135 0.402 0.714  0.00
N2 0.395 0.302 0.877  -0.01
N3 0.950 0.742 0.069  -0.01
N4 0.693 0.805 0.876  0.00
N5 0.525 0.508 0.345  0.00
N6 0.547 0.062 0.417  0.01
V1 0.440 0.597 0.043  0.20
V2 0.591 0.324 0.581  -0.11
La1 0.932 0.160 0.124  0.00
La2 0.107 0.772 0.540  0.00

Properties
Magnetic moment in μB/f.u.: 0.05
V in Å³ per cell: 128.8
Space group: P1
E_tot in eV per atom: -8.700
Crystal system: triclinic

***

4.
VASP calculation (PBE) on an optimized crystal structure of Pu2HgBi.

Cell lengths 5.414, 5.414, 5.414 Å; angles 60.00, 60.00, 60.00 degrees
Site moments in Bohr magnetons follow the coordinates.
Element x y z (fractional)
Pu1 0.750 0.750 0.750  5.74
Pu2 0.250 0.250 0.250  5.74
Bi1 0.500 0.500 0.500  -0.07
Hg1 0.000 0.000 0.000  0.11

Properties
Magnetic moment in μB/f.u.: 12.83
DFT formation energy in eV/atom: -0.25
Energy above the lowest structure with this stoichiometry in meV per atom: 22
V in Å³ per cell: 112.2
Space group: Fm-3m
E_tot in eV per atom: -8.462
Crystal system: cubic